The following is a DFT calculation (PBE-GGA) of an optimized crystal structure of CoAg2.

Cell and atoms, written as POSCAR:
```
CoAg2
1.0
2.245 -3.888 0.000
2.245 3.888 0.000
0.000 0.000 5.481
Ag Co
4 2
Direct
0.333 0.667 0.250
0.000 0.000 0.000
0.000 0.000 0.500
0.667 0.333 0.750
0.667 0.333 0.250
0.333 0.667 0.750
```

Values from the calculation:
SG = P6_3/mmc (194)
energy of formation from the pure elements = 0.516 eV per atom